[1]
Computed, not measured: a relaxed structure of SbH2S2 at the GGA-PBEsol level of DFT.

a = 3.1488 Å, b = 7.3728 Å, c = 7.3728 Å
α = 90.00°, β = 90.00°, γ = 90.00°
Fractional positions:
1 S 0.0000 0.6811 0.8189
2 S 0.0000 0.1811 0.6811
3 S 0.0000 0.8189 0.3189
4 S 0.0000 0.3189 0.1811
5 H 0.5000 0.1365 0.6365
6 H 0.5000 0.8635 0.3635
7 H 0.5000 0.6365 0.8635
8 H 0.5000 0.3635 0.1365
9 Sb 0.0000 0.5000 0.5000
10 Sb 0.0000 0.0000 0.0000

Properties
Its uncorrected energy is -3.9554 eV per atom. The calculation puts the calculated volume at 171 Å³ per cell. As for the space group: P4/mbm, No. 127. As for the magnetization: 0.00 Bohr magnetons per cell.

[2]
Computed, not measured: a relaxed structure of Mn2IrAu at the GGA-PBEsol level of DFT.

a = 2.6788 Å, b = 2.6788 Å, c = 7.5486 Å
α = 90.00°, β = 90.00°, γ = 90.00°
Fractional positions:
1 Mn 0.0000 0.0000 0.2677
2 Mn 0.0000 0.0000 0.7323
3 Au 0.5000 0.5000 0.0000
4 Ir 0.5000 0.5000 0.5000

Properties
Its distance to the lowest polymorph of the same formula is 0.0 meV per atom. The calculation puts the calculated volume at 54 Å³ per cell. As for the space group: P4/mmm, No. 123. The calculation puts the energy of formation from the pure elements at 0.09 eV/atom. As for the magnetization: 4.66 Bohr magnetons per cell.

[3]
Computed, not measured: a relaxed structure of CsNa2H15O9 at the GGA-PBEsol level of DFT.

a = 5.8782 Å, b = 12.2291 Å, c = 13.4240 Å
α = 90.00°, β = 90.00°, γ = 90.00°
Fractional positions:
1 Cs 0.5975 0.0014 0.4005
2 Cs 0.5975 0.5014 0.0995
3 Cs 0.4025 0.5014 0.5995
4 Cs 0.4025 0.0014 0.9005
5 O 0.4802 0.2500 0.2782
6 O 0.8491 0.8585 0.0779
7 O 0.7962 0.6943 0.5765
8 O 0.9921 0.8190 0.3831
9 O 0.5266 0.5144 0.3575
10 O 0.7962 0.1943 0.9235
11 O 0.0048 0.1009 0.7746
12 O 0.8017 0.4161 0.7634
13 O 0.4731 0.2615 0.0370
14 O 0.1983 0.4161 0.2634
15 O 0.5198 0.2500 0.7782
16 O 0.9921 0.3190 0.1169
17 O 0.5269 0.2615 0.5370
18 O 0.4731 0.7615 0.4630
19 O 0.4734 0.5144 0.8575
20 O 0.0079 0.8190 0.8831
21 O 0.9952 0.1009 0.2746
22 O 0.0045 0.5625 0.4566
23 O 0.2038 0.1943 0.4235
24 O 0.0045 0.0625 0.0434
25 O 0.1509 0.8585 0.5779
26 O 0.8017 0.9161 0.7366
27 O 0.5266 0.0144 0.1425
28 O 0.9955 0.5625 0.9566
29 O 0.0048 0.6009 0.7254
30 O 0.5198 0.7500 0.7218
31 O 0.8491 0.3585 0.4221
32 O 0.4734 0.0144 0.6425
33 O 0.9955 0.0625 0.5434
34 O 0.0079 0.3190 0.6169
35 O 0.1509 0.3585 0.9221
36 O 0.1983 0.9161 0.2366
37 O 0.4802 0.7500 0.2218
38 O 0.2038 0.6943 0.0765
39 O 0.5269 0.7615 0.9630
40 O 0.9952 0.6009 0.2254
41 H 0.3869 0.3188 0.2644
42 H 0.6003 0.9709 0.6773
43 H 0.9196 0.8625 0.8302
44 H 0.9486 0.8361 0.9507
45 H 0.3869 0.8188 0.2356
46 H 0.0881 0.1063 0.4926
47 H 0.6131 0.8188 0.7356
48 H 0.3990 0.2378 0.4894
49 H 0.9486 0.3361 0.5493
50 H 0.3997 0.4709 0.3227
51 H 0.0628 0.4885 0.9439
52 H 0.6151 0.2226 0.8368
53 H 0.9196 0.3625 0.6698
54 H 0.0804 0.8625 0.3302
55 H 0.9119 0.1063 0.9926
56 H 0.0765 0.6345 0.1659
57 H 0.0704 0.0265 0.2632
58 H 0.0804 0.3625 0.1698
59 H 0.0628 0.9885 0.5561
60 H 0.6003 0.4709 0.8227
61 H 0.6151 0.7226 0.6632
62 H 0.3593 0.4594 0.8809
63 H 0.9235 0.1345 0.8341
64 H 0.9041 0.3929 0.8182
65 H 0.7758 0.3175 0.3677
66 H 0.3997 0.9709 0.1773
67 H 0.7758 0.8175 0.1323
68 H 0.0765 0.1345 0.3341
69 H 0.3593 0.9594 0.6191
70 H 0.9119 0.6063 0.5074
71 H 0.6010 0.7378 0.5106
72 H 0.0959 0.3929 0.3182
73 H 0.3551 0.2991 0.9943
74 H 0.6131 0.3188 0.7644
75 H 0.9372 0.9885 0.0561
76 H 0.6407 0.4594 0.3809
77 H 0.6407 0.9594 0.1191
78 H 0.0704 0.5265 0.2368
79 H 0.0923 0.7558 0.0741
80 H 0.3849 0.2226 0.3368
81 H 0.9372 0.4885 0.4439
82 H 0.9235 0.6345 0.6659
83 H 0.0514 0.3361 0.0493
84 H 0.6449 0.7991 0.0057
85 H 0.0881 0.6063 0.0074
86 H 0.2242 0.3175 0.8677
87 H 0.9296 0.5265 0.7368
88 H 0.6449 0.2991 0.4943
89 H 0.6010 0.2378 0.9894
90 H 0.3990 0.7378 0.0106
91 H 0.9077 0.7558 0.5741
92 H 0.9077 0.2558 0.9259
93 H 0.0959 0.8929 0.1818
94 H 0.9296 0.0265 0.7632
95 H 0.3551 0.7991 0.5057
96 H 0.2242 0.8175 0.6323
97 H 0.9041 0.8929 0.6818
98 H 0.0514 0.8361 0.4507
99 H 0.0923 0.2558 0.4259
100 H 0.3849 0.7226 0.1632
101 Na 0.2469 0.1600 0.1429
102 Na 0.7531 0.1600 0.6429
103 Na 0.7429 0.6783 0.3374
104 Na 0.2571 0.6783 0.8374
105 Na 0.7429 0.1783 0.1626
106 Na 0.2571 0.1783 0.6626
107 Na 0.7531 0.6600 0.8571
108 Na 0.2469 0.6600 0.3571

Properties
Its uncorrected energy is -4.9168 eV per atom. The calculation puts the calculated volume at 965 Å³ per cell. As for the space group: Pca2_1, No. 29. As for the magnetization: 0.02 Bohr magnetons per cell.

[4]
Computed, not measured: a relaxed structure of SnHgOs3 at the GGA-PBEsol level of DFT.

a = 4.8325 Å, b = 4.8325 Å, c = 4.8325 Å
α = 90.00°, β = 90.00°, γ = 90.00°
Fractional positions:
1 Os 0.0000 0.5000 0.0000
2 Os 0.0000 0.0000 0.5000
3 Os 0.5000 0.0000 0.0000
4 Sn 0.5000 0.5000 0.5000
5 Hg 0.0000 0.0000 0.0000

Properties
The calculation puts the calculated volume at 113 Å³ per cell. As for the space group: Pm-3m, No. 221. The calculation puts the energy of formation from the pure elements at 3.04 eV/atom. As for the magnetization: 1.38 Bohr magnetons per cell.

[5]
Computed, not measured: a relaxed structure of PRu3Pb at the GGA-PBEsol level of DFT.

a = 4.8903 Å, b = 4.8903 Å, c = 4.8903 Å
α = 90.00°, β = 90.00°, γ = 90.00°
Fractional positions:
1 Ru 0.5000 0.0000 0.0000
2 Ru 0.0000 0.0000 0.5000
3 Ru 0.0000 0.5000 0.0000
4 Pb 0.0000 0.0000 0.0000
5 P 0.5000 0.5000 0.5000

Properties
Its distance to the lowest polymorph of the same formula is 2299.2 meV per atom. The calculation puts the calculated volume at 117 Å³ per cell. As for the space group: Pm-3m, No. 221. The calculation puts the energy of formation from the pure elements at 2.67 eV/atom. As for the magnetization: 4.99 Bohr magnetons per cell.

[6]
Computed, not measured: a relaxed structure of RbInCl3 at the GGA-PBEsol level of DFT.

a = 7.4954 Å, b = 7.4954 Å, c = 7.4954 Å
α = 60.29°, β = 60.29°, γ = 60.29°
Fractional positions:
1 Cl 0.6942 0.2480 0.7971
2 Cl 0.7971 0.6942 0.2480
3 Cl 0.7480 0.1942 0.2971
4 Cl 0.2971 0.7480 0.1942
5 Cl 0.1942 0.2971 0.7480
6 Cl 0.2480 0.7971 0.6942
7 In 0.9951 0.9951 0.9951
8 In 0.4951 0.4951 0.4951
9 Rb 0.7372 0.7372 0.7372
10 Rb 0.2372 0.2372 0.2372

Properties
The formation energy (no corrections) is -1.36 eV per atom. The calculation puts the calculated volume at 300 Å³ per cell. As for the space group: R3c, No. 161. As for the magnetization: 0.00 Bohr magnetons per cell.

[7]
Computed, not measured: a relaxed structure of TaIrPt2 at the GGA-PBEsol level of DFT.

a = 3.9310 Å, b = 3.9310 Å, c = 4.8058 Å
α = 114.14°, β = 114.14°, γ = 90.00°
Fractional positions:
1 Pt 0.7500 0.2500 0.5000
2 Pt 0.5000 0.5000 0.0000
3 Ta 0.0000 0.0000 0.0000
4 Ir 0.2500 0.7500 0.5000

Properties
Its distance to the lowest polymorph of the same formula is 9.1 meV per atom. The calculation puts the calculated volume at 61 Å³ per cell. As for the space group: I-4m2, No. 119. The calculation puts the energy of formation from the pure elements at -0.63 eV/atom. As for the magnetization: 0.00 Bohr magnetons per cell.

[8]
Computed, not measured: a relaxed structure of Be4PbCl at the GGA-PBEsol level of DFT.

a = 4.9401 Å, b = 4.9401 Å, c = 4.9401 Å
α = 60.00°, β = 60.00°, γ = 60.00°
Fractional positions:
1 Be 0.3706 0.3706 0.8882
2 Be 0.8882 0.3706 0.3706
3 Be 0.3706 0.3706 0.3706
4 Be 0.3706 0.8882 0.3706
5 Pb 0.0000 0.0000 0.0000
6 Cl 0.7500 0.7500 0.7500

Properties
The formation energy (no corrections) is 0.60 eV per atom. The calculation puts the calculated volume at 85 Å³ per cell. As for the space group: F-43m, No. 216. As for the magnetization: 0.00 Bohr magnetons per cell.

Q: Look up the calculated volume of the first one.
A: 171 Å³ per cell

Q: What is the formula in the fourth record?
A: SnHgOs3